# Sr2LaPb2 (GGA-PBE, relaxed)
# Calculated volume, Å³/atom: 40.89
# DFT formation energy, meV per atom: -22
# D(E_F), states/eV per cell: 10.09
# E, eV per atom: -3.16
data_Sr2LaPb2
_chemical_formula_sum 'Sr4 La2 Pb4'
_symmetry_space_group_name_H-M 'I 4/m m m'
_symmetry_Int_Tables_number 139
_symmetry_space_group_name_Hall '-I 4 2'
_cell_length_a 6.1120
_cell_length_b 6.1120
_cell_length_c 10.9452
_cell_angle_alpha 90.00
_cell_angle_beta 90.00
_cell_angle_gamma 90.00
loop_
_atom_site_label
_atom_site_type_symbol
_atom_site_fract_x
_atom_site_fract_y
_atom_site_fract_z
Sr1 Sr 0.0000 0.0000 0.1597
La1 La 0.0000 0.0000 0.5000
Pb1 Pb 0.0000 0.5000 0.2500